# 1
A plane-wave DFT calculation with PBE was carried out for crystalline Pu2Be3AgGe4 at its relaxed geometry.

The space group is P-4m2 (No. 115) and the conventional cell measures 4.097, 4.097 and 9.998 Å, with angles of 90.00, 90.00 and 90.00 degrees. The inequivalent atoms are Pu at (0.000, 0.500, 0.235), Be at (0.000, 0.500, 0.876), Be at (0.500, 0.500, 0.500), Ag at (0.000, 0.000, 0.500), Ge at (0.000, 0.000, 0.000), Ge at (0.000, 0.500, 0.652) and Ge at (0.500, 0.500, 0.000).

The value obtained for the energy relative to the elements is -205 meV/atom. The total magnetic moment is 10.8 Bohr magnetons per cell. The calculation puts the density of states at the Fermi level at 19.76 states/eV per cell. The value obtained for the density is 9.04 g/cm3.

=====

# 2
A plane-wave DFT calculation with PBE was carried out for crystalline Ce2Er2Tm5 at its relaxed geometry.

The space group is C2/m (No. 12) and the conventional cell measures 16.304, 5.548 and 6.491 Å, with angles of 90.00, 111.07 and 90.00 degrees. The inequivalent atoms are Ce at (0.079, 0.000, 0.491), Er at (0.062, 0.500, 0.782), Tm at (0.000, 0.000, 0.000), Tm at (0.180, 0.500, 0.354) and Tm at (0.208, 0.000, 0.062).

The value obtained for the energy relative to the elements is 117 meV/atom. The total magnetic moment is 0.0 Bohr magnetons per cell. The calculation puts the density of states at the Fermi level at 37.23 states/eV per cell. The value obtained for the density is 8.85 g/cm3.

=====

# 3
A plane-wave DFT calculation with PBE was carried out for crystalline BaBe2As3 at its relaxed geometry.

The space group is I4/mmm (No. 139) and the conventional cell measures 4.443, 4.443 and 13.150 Å, with angles of 90.00, 90.00 and 90.00 degrees. The inequivalent atoms are Ba at (0.000, 0.000, 0.000), Be at (0.000, 0.000, 0.337), As at (0.000, 0.000, 0.500) and As at (0.000, 0.500, 0.250).

The value obtained for the energy relative to the elements is -293 meV/atom. The total magnetic moment is 0.0 Bohr magnetons per cell. The calculation puts the density of states at the Fermi level at 5.49 states/eV per cell. The value obtained for the density is 4.86 g/cm3.

=====

# 4
A plane-wave DFT calculation with PBE was carried out for crystalline NaOsF4 at its relaxed geometry.

The space group is I-4 (No. 82) and the conventional cell measures 6.246, 6.246 and 5.761 Å, with angles of 90.00, 90.00 and 90.00 degrees. The inequivalent atoms are Na at (0.000, 0.000, 0.000), Os at (0.000, 0.500, 0.250) and F at (0.159, 0.236, 0.248).

The total magnetic moment is 6.0 Bohr magnetons per cell. The value obtained for the density is 4.27 g/cm3.

=====

E list, top to bottom, in eV per atom: -6.32 -4.70 -4.18 -5.07